[1]
Hf3ReBr: optimized geometry, PBE.

Computed properties:
* energy relative to the elements, uncorrected: 590.0 meV per atom
* DFT total energy: -8.21 eV/atom
* energy above the lowest structure with this stoichiometry: 0 meV/atom

Cell: 5.1046 5.1046 5.1046 Å, 90.00 90.00 90.00°
Space group Pm-3m (No. 221)
One atom of each set of equivalent atoms:
Hf: 0.0000 0.0000 0.5000 [3 per cell]
Re: 0.0000 0.0000 0.0000 [1 per cell]
Br: 0.5000 0.5000 0.5000 [1 per cell]

---

[2]
AgAu2Br4: optimized geometry, PBE.

Computed properties:
* energy relative to the elements, uncorrected: -52.8 meV per atom
* DFT total energy: -2.35 eV/atom

Cell: 6.0077 6.0077 6.1486 Å, 90.00 90.00 90.00°
Space group P-42m (No. 111)
One atom of each set of equivalent atoms:
Ag: 0.0000 0.0000 0.0000 [1 per cell]
Au: 0.0000 0.5000 0.5000 [2 per cell]
Br: 0.2638 0.2638 0.2432 [4 per cell]

---

[3]
BaCeSb2: optimized geometry, PBE.

Computed properties:
* energy relative to the elements, uncorrected: -866.8 meV per atom
* DFT total energy: -4.89 eV/atom
* energy above the lowest structure with this stoichiometry: 139 meV/atom

Cell: 4.0105 4.0105 8.2209 Å, 90.00 90.00 90.00°
Space group P4/mmm (No. 123)
One atom of each set of equivalent atoms:
Ba: 0.0000 0.0000 0.0000 [1 per cell]
Ce: 0.0000 0.0000 0.5000 [1 per cell]
Sb: 0.5000 0.5000 0.2843 [2 per cell]